Compound: Pa3Zn9Cu2
Source: Alexandria
Functional: PBE-GGA
Structure: optimized geometry

Results
Energy of formation from the pure elements (eV/f.u.): -1.30
E_tot (eV/cell): -49.45
Space group: No. 71

```
data_Pa3Zn9Cu2
_chemical_formula_sum 'Pa3 Zn9 Cu2'
_cell_length_a 4.419
_cell_length_b 7.988
_cell_length_c 7.988
_cell_angle_alpha 66.33
_cell_angle_beta 73.94
_cell_angle_gamma 73.94
_symmetry_space_group_name_H-M 'P 1'
_symmetry_Int_Tables_number 1
_symmetry_space_group_name_Hall 'P 1'
loop_
_atom_site_label
_atom_site_fract_x
_atom_site_fract_y
_atom_site_fract_z
Pa1 0.000 0.000 0.000
Zn1 0.859 0.856 0.427
Zn2 0.141 0.144 0.573
Cu1 0.500 0.664 0.336
Zn3 0.649 0.993 0.708
Zn4 0.859 0.427 0.856
Zn5 0.351 0.007 0.292
Pa2 0.290 0.710 0.710
Zn6 0.649 0.708 0.993
Zn7 0.141 0.573 0.144
Zn8 0.000 0.500 0.500
Cu2 0.500 0.336 0.664
Pa3 0.710 0.290 0.290
Zn9 0.351 0.292 0.007
```

Compound: NaGa2Au3
Source: Alexandria
Functional: PBE-GGA
Structure: optimized geometry

Results
ΔE to the lowest computed polymorph (meV/atom): 0.0
Energy of formation from the pure elements (eV/f.u.): -1.70
E_tot (eV/cell): -37.80
Space group: No. 63

```
data_NaGa2Au3
_chemical_formula_sum 'Na2 Ga4 Au6'
_cell_length_a 5.529
_cell_length_b 6.927
_cell_length_c 6.927
_cell_angle_alpha 102.25
_cell_angle_beta 90.00
_cell_angle_gamma 90.00
_symmetry_space_group_name_H-M 'P 1'
_symmetry_Int_Tables_number 1
_symmetry_space_group_name_Hall 'P 1'
loop_
_atom_site_label
_atom_site_fract_x
_atom_site_fract_y
_atom_site_fract_z
Na1 0.250 0.312 0.312
Ga1 0.500 0.211 0.789
Au1 0.750 0.475 0.089
Ga2 0.000 0.211 0.789
Au2 0.250 0.936 0.936
Au3 0.750 0.089 0.475
Na2 0.750 0.688 0.688
Au4 0.750 0.064 0.064
Ga3 0.000 0.789 0.211
Au5 0.250 0.525 0.911
Au6 0.250 0.911 0.525
Ga4 0.500 0.789 0.211
```

Compound: TbEr3Rh2
Source: Alexandria
Functional: PBE-GGA
Structure: optimized geometry

Results
ΔE to the lowest computed polymorph (meV/atom): 91.0
Energy of formation from the pure elements (eV/f.u.): -3.55
E_tot (eV/cell): -73.15
Space group: No. 72

```
data_TbEr3Rh2
_chemical_formula_sum 'Tb2 Er6 Rh4'
_cell_length_a 6.672
_cell_length_b 7.015
_cell_length_c 8.304
_cell_angle_alpha 114.98
_cell_angle_beta 113.69
_cell_angle_gamma 90.00
_symmetry_space_group_name_H-M 'P 1'
_symmetry_Int_Tables_number 1
_symmetry_space_group_name_Hall 'P 1'
loop_
_atom_site_label
_atom_site_fract_x
_atom_site_fract_y
_atom_site_fract_z
Er1 0.233 0.483 0.466
Rh1 0.849 0.139 0.277
Tb1 0.000 0.500 0.000
Rh2 0.428 0.639 0.277
Rh3 0.151 0.861 0.723
Rh4 0.572 0.361 0.723
Er2 0.233 0.983 0.466
Er3 0.500 0.750 0.000
Tb2 0.000 0.000 0.000
Er4 0.767 0.517 0.534
Er5 0.767 0.017 0.534
Er6 0.500 0.250 0.000
```

Compound: HoBiPd2
Source: Alexandria
Functional: PBE-GGA
Structure: optimized geometry

Results
Energy of formation from the pure elements (eV/f.u.): -2.63
E_tot (eV/cell): -21.47
Space group: No. 123

```
data_HoBiPd2
_chemical_formula_sum 'Ho1 Bi1 Pd2'
_cell_length_a 3.937
_cell_length_b 4.619
_cell_length_c 4.619
_cell_angle_alpha 90.00
_cell_angle_beta 90.00
_cell_angle_gamma 90.00
_symmetry_space_group_name_H-M 'P 1'
_symmetry_Int_Tables_number 1
_symmetry_space_group_name_Hall 'P 1'
loop_
_atom_site_label
_atom_site_fract_x
_atom_site_fract_y
_atom_site_fract_z
Bi1 0.500 0.000 0.000
Ho1 0.500 0.500 0.500
Pd1 0.000 0.500 0.000
Pd2 0.000 0.000 0.500
```